(1)
! PBE MgRhOF2, optimized geometry; values from VASP
&SYSTEM
  ibrav = 0, nat = 5, ntyp = 4
/
ATOMIC_SPECIES
Mg 24.30 Mg.upf
Rh 102.91 Rh.upf
O 16.00 O.upf
F 19.00 F.upf
CELL_PARAMETERS angstrom
4.302 0.000 0.000
0.000 4.302 0.000
0.000 0.000 3.841
ATOMIC_POSITIONS angstrom
Mg 2.151 2.151 1.920
Rh 0.000 0.000 0.000
O 0.000 0.000 1.920
F 0.000 2.151 0.000
F 2.151 0.000 0.000
! * total magnetic moment: 0.0 μB per cell
! * D(E_F): 3.9 states/eV/cell
! * crystal system: tetragonal
! * SG: No. 123
! * energy relative to the elements, uncorrected: -1.10 eV per atom

***

(2)
! PBE CaCo3Pt, optimized geometry; values from VASP
&SYSTEM
  ibrav = 0, nat = 5, ntyp = 3
/
ATOMIC_SPECIES
Ca 40.08 Ca.upf
Co 58.93 Co.upf
Pt 195.08 Pt.upf
CELL_PARAMETERS angstrom
-2.534 -0.799 -3.855
3.887 -1.236 -2.299
-0.626 -4.445 1.332
ATOMIC_POSITIONS angstrom
Ca 0.364 -3.240 -2.411
Co 1.944 -0.618 -1.150
Co -0.313 -2.222 0.666
Co -1.267 -0.399 -1.928
Pt 0.000 0.000 0.000
! * total magnetic moment: 6.0 μB per cell
! * D(E_F): 5.4 states/eV/cell
! * crystal system: cubic
! * calculated formation energy: 0.644 eV/atom
! * SG: No. 221